# InRhI3

An optimized crystal structure of InRhI3 (PBE, the Alexandria database).

The space group is Pm-3m (No. 221) and the conventional cell measures 5.490, 5.490 and 5.490 Å, with angles of 90.00, 90.00 and 90.00 degrees. Symmetry generates all atoms from In at (0.000, 0.000, 0.000), Rh at (0.500, 0.500, 0.500) and I at (0.000, 0.500, 0.500).

As for the excess energy over the best structure of this formula in the dataset: 0.0 meV/atom.